(1)
Density functional theory data (GGA-PBE) for a relaxed HfCuPt crystal.

POSCAR file:
```
HfCuPt
1.0
3.3386 0.0000 0.0000
0.0000 3.3386 0.0000
0.0000 0.0000 8.9518
Hf Cu Pt
2 2 2
direct
0.2500 0.2500 0.1121 Hf
0.7500 0.7500 0.8879 Hf
0.2500 0.2500 0.4380 Cu
0.7500 0.7500 0.5620 Cu
0.2500 0.2500 0.7296 Pt
0.7500 0.7500 0.2704 Pt
```

The calculation puts the formation energy at -0.54 eV per atom. Its distance to the lowest polymorph of the same formula is 0.2206 eV/atom. The calculation puts the total energy at -7.24 eV per atom. The spin magnetization is 0.000 μB/atom.

=====

(2)
Density functional theory data (GGA-PBE) for a relaxed RbTaFeGeTe crystal.

POSCAR file:
```
RbTaFeGeTe
1.0
4.1567 0.0000 0.0000
-2.0784 3.5998 0.0000
0.0000 0.0000 8.4443
Rb Ta Fe Ge Te
1 1 1 1 1
direct
0.0000 0.0000 0.0000 Rb
0.0000 0.0000 0.4737 Ta
0.6667 0.3333 0.3735 Fe
0.3333 0.6667 0.3145 Ge
0.6667 0.3333 0.6757 Te
```

Its uncorrected formation energy is -6.715 kcal/mol of atoms. Its distance to the lowest polymorph of the same formula is 0.0000 eV/atom. The calculation puts the total energy at -6.10 eV per atom. The spin magnetization is 0.000 μB/atom.

=====

(3)
Density functional theory data (GGA-PBE) for a relaxed MnZnPt4 crystal.

POSCAR file:
```
MnZnPt4
1.0
0.0000 3.7150 3.7150
3.7150 0.0000 3.7150
3.7150 3.7150 0.0000
Mn Zn Pt
1 1 4
direct
0.0000 0.0000 0.0000 Mn
0.7500 0.7500 0.7500 Zn
0.3752 0.3752 0.3752 Pt
0.3752 0.3752 0.8746 Pt
0.3752 0.8746 0.3752 Pt
0.8746 0.3752 0.3752 Pt
```

The calculation puts the formation energy at -0.07 eV per atom. Its distance to the lowest polymorph of the same formula is 0.2364 eV/atom. The calculation puts the total energy at -5.84 eV per atom. The spin magnetization is 0.683 μB/atom.

=====

(4)
Density functional theory data (GGA-PBE) for a relaxed Ta2ZnBr crystal.

POSCAR file:
```
Ta2ZnBr
1.0
-2.0013 2.0013 9.7738
2.0013 -2.0013 9.7738
2.0013 2.0013 -9.7738
Ta Zn Br
4 2 2
direct
0.1117 0.6250 0.9867 Ta
0.3750 0.3617 0.4867 Ta
0.6383 0.1250 0.0133 Ta
0.8750 0.8883 0.5133 Ta
0.0000 0.0000 0.0000 Zn
0.7500 0.2500 0.5000 Zn
0.2500 0.7500 0.5000 Br
0.5000 0.5000 0.0000 Br
```

Its uncorrected formation energy is 15.354 kcal/mol of atoms. Its distance to the lowest polymorph of the same formula is 0.5003 eV/atom. The calculation puts the total energy at -6.00 eV per atom. The spin magnetization is 0.000 μB/atom.